(1)
Compound: Re3Ru
Source: Alexandria
Functional: PBE
Structure: relaxed

Output
The value obtained for the uncorrected energy is -0.84289 Ry per atom. The value obtained for the formation energy is 0.187 eV per atom. The calculation puts the total magnetization at 0.0 μB/cell. The crystal system is cubic.

a b c (Å): 4.9235 4.9235 4.9235
angles (deg): 90.00 90.00 90.00
Space group Pm-3n (No. 223)
Unique sites:
Re (0.0000, 0.2500, 0.5000) x6
Ru (0.0000, 0.0000, 0.0000) x2

=====

(2)
Compound: ReRu5
Source: Alexandria
Functional: PBE
Structure: relaxed

Output
The value obtained for the energy above the lowest structure with this stoichiometry is 617 meV per atom. The value obtained for the uncorrected energy is -0.67828 Ry per atom. The value obtained for the formation energy is 0.576 eV per atom. The calculation puts the total magnetization at 0.0 μB/cell. The crystal system is cubic.

a b c (Å): 7.0780 7.0780 7.0780
angles (deg): 90.00 90.00 90.00
Space group F-43m (No. 216)
Unique sites:
Re (0.0000, 0.0000, 0.0000) x4
Ru (0.1246, 0.1246, 0.3754) x16
Ru (0.2500, 0.2500, 0.7500) x4

=====

(3)
Compound: ReRu8
Source: Alexandria
Functional: PBE
Structure: relaxed

Output
The value obtained for the uncorrected energy is -0.70120 Ry per atom. The value obtained for the formation energy is 0.088 eV per atom. The calculation puts the total magnetization at 0.0 μB/cell. The crystal system is tetragonal.

a b c (Å): 8.1318 8.1318 3.8261
angles (deg): 90.00 90.00 90.00
Space group I4/mmm (No. 139)
Unique sites:
Re (0.0000, 0.0000, 0.0000) x2
Ru (0.0000, 0.3329, 0.0000) x8
Ru (0.1663, 0.1663, 0.5000) x8

=====

(4)
Compound: ReRu2
Source: Alexandria
Functional: PBE
Structure: relaxed

Output
The value obtained for the energy above the lowest structure with this stoichiometry is 227 meV per atom. The value obtained for the uncorrected energy is -0.74849 Ry per atom. The value obtained for the formation energy is 0.149 eV per atom. The calculation puts the total magnetization at 0.0 μB/cell. The crystal system is hexagonal.

a b c (Å): 4.3170 4.3170 5.4068
angles (deg): 90.00 90.00 120.00
Space group P6_3/mmc (No. 194)
Unique sites:
Re (0.3333, 0.6667, 0.2500) x2
Ru (0.0000, 0.0000, 0.0000) x2
Ru (0.3333, 0.6667, 0.7500) x2

=====

(5)
Compound: ReRu5
Source: Alexandria
Functional: PBE
Structure: relaxed

Output
The value obtained for the energy above the lowest structure with this stoichiometry is 120 meV per atom. The value obtained for the uncorrected energy is -0.71487 Ry per atom. The value obtained for the formation energy is 0.078 eV per atom. The calculation puts the total magnetization at 0.0 μB/cell. The crystal system is monoclinic.

a b c (Å): 2.7088 11.5165 5.4316
angles (deg): 90.00 90.18 90.00
Space group P2_1/m (No. 11)
Unique sites:
Re (0.2499, 0.2500, 0.1278) x2
Ru (0.2494, 0.5825, 0.1241) x4
Ru (0.2497, 0.2500, 0.6237) x2
Ru (0.2503, 0.5847, 0.6264) x4

=====

(6)
Compound: Re3Ru
Source: Alexandria
Functional: PBE
Structure: relaxed

Output
The value obtained for the uncorrected energy is -0.85645 Ry per atom. The value obtained for the formation energy is 0.002 eV per atom. The calculation puts the total magnetization at 0.0 μB/cell. The crystal system is orthorhombic.

a b c (Å): 5.5221 13.3616 4.7811
angles (deg): 90.00 90.00 90.00
Space group Pmmn (No. 59, origin choice 2)
Unique sites:
Re (0.9996, 0.0845, 0.1639) x8
Re (0.9999, 0.2500, 0.4980) x4
Re (0.2500, 0.0848, 0.6664) x4
Re (0.2500, 0.7500, 0.9964) x2
Ru (0.2500, 0.2500, 0.9997) x2
Ru (0.2500, 0.5828, 0.3348) x4

=====

(7)
Compound: Re7Ru6
Source: Alexandria
Functional: PBE
Structure: relaxed

Output
The value obtained for the uncorrected energy is -0.79022 Ry per atom. The value obtained for the formation energy is 0.232 eV per atom. The calculation puts the total magnetization at 0.0 μB/cell. The crystal system is trigonal.

a b c (Å): 5.0658 5.0658 26.7439
angles (deg): 90.00 90.00 120.00
Space group R-3m (No. 166, hexagonal axes)
Unique sites:
Re (0.0000, 0.0000, 0.0000) x3
Re (0.0061, 0.5030, 0.4130) x18
Ru (0.0000, 0.0000, 0.1641) x6
Ru (0.0000, 0.0000, 0.3478) x6
Ru (0.0000, 0.0000, 0.4540) x6

=====

(8)
Compound: ReRu2
Source: Alexandria
Functional: PBE
Structure: relaxed

Output
The value obtained for the energy above the lowest structure with this stoichiometry is 244 meV per atom. The value obtained for the uncorrected energy is -0.74720 Ry per atom. The value obtained for the formation energy is 0.167 eV per atom. The calculation puts the total magnetization at 0.0 μB/cell. The crystal system is hexagonal.

a b c (Å): 4.3021 4.3021 2.7007
angles (deg): 90.00 90.00 120.00
Space group P6/mmm (No. 191)
Unique sites:
Re (0.0000, 0.0000, 0.0000) x1
Ru (0.3333, 0.6667, 0.5000) x2

=====

(9)
Compound: ReRu2
Source: Alexandria
Functional: PBE
Structure: relaxed

Output
The value obtained for the energy above the lowest structure with this stoichiometry is 508 meV per atom. The value obtained for the uncorrected energy is -0.72780 Ry per atom. The value obtained for the formation energy is 0.431 eV per atom. The calculation puts the total magnetization at 0.0 μB/cell. The crystal system is orthorhombic.

a b c (Å): 2.6923 4.0640 17.1483
angles (deg): 90.00 90.00 90.00
Space group Imma (No. 74)
Unique sites:
Re (0.0000, 0.2500, 0.1096) x4
Ru (0.0000, 0.2500, 0.5393) x4
Ru (0.0000, 0.2500, 0.6877) x4

=====

(10)
Compound: Re3Ru
Source: Alexandria
Functional: PBE
Structure: relaxed

Output
The value obtained for the uncorrected energy is -0.85322 Ry per atom. The value obtained for the formation energy is 0.046 eV per atom. The calculation puts the total magnetization at 0.0 μB/cell. The crystal system is monoclinic.

a b c (Å): 9.1169 2.7478 4.7760
angles (deg): 90.00 99.74 90.00
Space group C2/m (No. 12)
Unique sites:
Re (0.0000, 0.0000, 0.0000) x2
Re (0.2484, 0.0000, 0.7471) x4
Ru (0.0000, 0.5000, 0.5000) x2

=====

(11)
Compound: ReRu4
Source: Alexandria
Functional: PBE
Structure: relaxed

Output
The value obtained for the energy above the lowest structure with this stoichiometry is 1295 meV per atom. The value obtained for the uncorrected energy is -0.62869 Ry per atom. The value obtained for the formation energy is 1.357 eV per atom. The calculation puts the total magnetization at 0.0 μB/cell. The crystal system is cubic.

a b c (Å): 5.6603 5.6603 5.6603
angles (deg): 90.00 90.00 90.00
Space group Im-3m (No. 229)
Unique sites:
Re (0.0000, 0.0000, 0.0000) x2
Ru (0.2500, 0.2500, 0.2500) x8

=====

(12)
Compound: Re7Ru
Source: Alexandria
Functional: PBE
Structure: relaxed

Output
The value obtained for the uncorrected energy is -0.88309 Ry per atom. The value obtained for the formation energy is 0.037 eV per atom. The calculation puts the total magnetization at 0.0 μB/cell. The crystal system is cubic.

a b c (Å): 7.8067 7.8067 7.8067
angles (deg): 90.00 90.00 90.00
Space group Fm-3m (No. 225)
Unique sites:
Re (0.0000, 0.0000, 0.0000) x4
Re (0.0000, 0.2500, 0.2500) x24
Ru (0.0000, 0.0000, 0.5000) x4

=====

(13)
Compound: Re3Ru
Source: Alexandria
Functional: PBE
Structure: relaxed

Output
The value obtained for the uncorrected energy is -0.85235 Ry per atom. The value obtained for the formation energy is 0.058 eV per atom. The calculation puts the total magnetization at 0.0 μB/cell. The crystal system is trigonal.

a b c (Å): 2.7525 2.7525 26.9698
angles (deg): 90.00 90.00 120.00
Space group R-3m (No. 166, hexagonal axes)
Unique sites:
Re (0.0000, 0.0000, 0.0000) x3
Re (0.0000, 0.0000, 0.2495) x6
Ru (0.0000, 0.0000, 0.5000) x3

=====

(14)
Compound: ReRu2
Source: Alexandria
Functional: PBE
Structure: relaxed

Output
The value obtained for the energy above the lowest structure with this stoichiometry is 148 meV per atom. The value obtained for the uncorrected energy is -0.75424 Ry per atom. The value obtained for the formation energy is 0.071 eV per atom. The calculation puts the total magnetization at 0.0 μB/cell. The crystal system is trigonal.

a b c (Å): 2.7305 2.7305 6.6540
angles (deg): 90.00 90.00 120.00
Space group P-3m1 (No. 164)
Unique sites:
Re (0.0000, 0.0000, 0.0000) x1
Ru (0.3333, 0.6667, 0.3307) x2

=====

(15)
Compound: ReRu2
Source: Alexandria
Functional: PBE
Structure: relaxed

Output
The value obtained for the energy above the lowest structure with this stoichiometry is 133 meV per atom. The value obtained for the uncorrected energy is -0.75534 Ry per atom. The value obtained for the formation energy is 0.056 eV per atom. The calculation puts the total magnetization at 0.0 μB/cell. The crystal system is orthorhombic.

a b c (Å): 2.7220 3.8438 8.1872
angles (deg): 90.00 90.00 90.00
Space group Immm (No. 71)
Unique sites:
Re (0.0000, 0.0000, 0.0000) x2
Ru (0.0000, 0.0000, 0.3340) x4

=====

(16)
Compound: Re2Ru3
Source: Alexandria
Functional: PBE
Structure: relaxed

Output
The value obtained for the energy above the lowest structure with this stoichiometry is 51 meV per atom. The value obtained for the uncorrected energy is -0.76734 Ry per atom. The value obtained for the formation energy is 0.105 eV per atom. The calculation puts the total magnetization at 0.0 μB/cell. The crystal system is orthorhombic.

a b c (Å): 9.3612 13.0579 4.7573
angles (deg): 90.00 90.00 90.00
Space group Fdd2 (No. 43)
Unique sites:
Re (0.0321, 0.2029, 0.0000) x16
Ru (0.0000, 0.0000, 0.0384) x8
Ru (0.0477, 0.0990, 0.5225) x16

=====

(17)
Compound: ReRu2
Source: Alexandria
Functional: PBE
Structure: relaxed

Output
The value obtained for the energy above the lowest structure with this stoichiometry is 615 meV per atom. The value obtained for the uncorrected energy is -0.71992 Ry per atom. The value obtained for the formation energy is 0.538 eV per atom. The calculation puts the total magnetization at 0.0 μB/cell. The crystal system is cubic.

a b c (Å): 7.0777 7.0777 7.0777
angles (deg): 90.00 90.00 90.00
Space group Fd-3m (No. 227, origin choice 2)
Unique sites:
Re (0.1250, 0.1250, 0.1250) x8
Ru (0.0000, 0.0000, 0.5000) x16

=====

(18)
Compound: Re2Ru3
Source: Alexandria
Functional: PBE
Structure: relaxed

Output
The value obtained for the energy above the lowest structure with this stoichiometry is 0 meV per atom. The value obtained for the uncorrected energy is -0.77108 Ry per atom. The value obtained for the formation energy is 0.054 eV per atom. The calculation puts the total magnetization at 0.0 μB/cell. The crystal system is trigonal.

a b c (Å): 2.7309 2.7309 33.4514
angles (deg): 90.00 90.00 120.00
Space group R-3m (No. 166, hexagonal axes)
Unique sites:
Re (0.0000, 0.0000, 0.0991) x6
Ru (0.0000, 0.0000, 0.2989) x6
Ru (0.0000, 0.0000, 0.5000) x3

=====

(19)
Compound: ReRu2
Source: Alexandria
Functional: PBE
Structure: relaxed

Output
The value obtained for the energy above the lowest structure with this stoichiometry is 1111 meV per atom. The value obtained for the uncorrected energy is -0.68351 Ry per atom. The value obtained for the formation energy is 1.034 eV per atom. The calculation puts the total magnetization at 0.0 μB/cell. The crystal system is cubic.

a b c (Å): 5.9351 5.9351 5.9351
angles (deg): 90.00 90.00 90.00
Space group Pa-3 (No. 205)
Unique sites:
Re (0.0000, 0.0000, 0.0000) x4
Ru (0.1208, 0.6208, 0.8792) x8

=====

(20)
Compound: ReRu2
Source: Alexandria
Functional: PBE
Structure: relaxed

Output
The value obtained for the energy above the lowest structure with this stoichiometry is 146 meV per atom. The value obtained for the uncorrected energy is -0.75443 Ry per atom. The value obtained for the formation energy is 0.069 eV per atom. The calculation puts the total magnetization at 0.0 μB/cell. The crystal system is tetragonal.

a b c (Å): 2.7307 2.7307 11.5051
angles (deg): 90.00 90.00 90.00
Space group I4/mmm (No. 139)
Unique sites:
Re (0.0000, 0.0000, 0.0000) x2
Ru (0.0000, 0.0000, 0.3340) x4